Run A
# LiIn4Hg

An optimized crystal structure of LiIn4Hg (PBE, Alexandria via LeMat-Bulk).

POSCAR file:
```
LiIn4Hg
1.0
0.0000 4.3585 4.3585
4.3585 0.0000 4.3585
4.3585 4.3585 0.0000
Li In Hg
1 4 1
Direct
0.7500 0.7500 0.7500
0.3752 0.3752 0.3752
0.3752 0.8744 0.3752
0.3752 0.3752 0.8744
0.8744 0.3752 0.3752
0.0000 0.0000 0.0000
```

Results
**Space-group type**: F-43m
**Crystal system**: cubic
**Density of states at the Fermi level**: 0.27 states/eV per atom


Run B
# LiIn4Hg

An optimized crystal structure of LiIn4Hg (PBE, Alexandria via LeMat-Bulk).

POSCAR file:
```
LiIn4Hg
1.0
-0.6260 -1.8255 5.2422
-4.5001 -3.5171 -2.3770
3.4883 -8.0770 -2.7035
In Hg Li
8 2 2
Direct
0.2325 0.8836 0.2264
0.7679 0.2954 0.4072
0.2321 0.7046 0.5928
0.2675 0.3900 0.2264
0.2679 0.2025 0.5928
0.7325 0.6100 0.7736
0.7321 0.7975 0.4072
0.7675 0.1164 0.7736
0.7500 0.7079 0.0842
0.2500 0.2921 0.9158
0.7500 0.2049 0.0902
0.2500 0.7951 0.9098
```

Results
**Space-group type**: C2/c
**Crystal system**: monoclinic
**Density of states at the Fermi level**: 0.36 states/eV per atom


Run C
# LiIn4Hg

An optimized crystal structure of LiIn4Hg (PBE, Alexandria via LeMat-Bulk).

POSCAR file:
```
LiIn4Hg
1.0
4.9896 0.0000 0.0000
0.0000 5.6664 0.0000
-2.4948 0.0000 10.9393
In Li Hg
8 2 2
Direct
0.2606 0.4994 0.5211
0.7394 0.9994 0.4789
0.6753 0.5074 0.3505
0.5388 0.4810 0.0777
0.9605 0.3144 0.9209
0.0395 0.8144 0.0791
0.3247 0.0074 0.6495
0.4612 0.9810 0.9223
0.3968 0.4872 0.7936
0.6032 0.9872 0.2064
0.8519 0.6441 0.7038
0.1481 0.1441 0.2962
```

Results
**Space-group type**: Cmc2_1
**Crystal system**: orthorhombic
**Density of states at the Fermi level**: 0.39 states/eV per atom


Stability ranking, top entry: run B; the second entry is 2.2 kJ/mol of atoms less favorable.


Run A
# LiInHg3

An optimized crystal structure of LiInHg3 (PBE, Alexandria via LeMat-Bulk).

POSCAR file:
```
LiInHg3
1.0
5.6058 0.0000 0.0000
0.0000 5.6058 0.0000
0.0000 0.0000 5.6058
In Hg Li
1 3 1
Direct
0.0000 0.0000 0.0000
0.5000 0.0000 0.0000
0.0000 0.0000 0.5000
0.0000 0.5000 0.0000
0.5000 0.5000 0.5000
```

Results
**Space-group type**: Pm-3m
**Crystal system**: cubic
**Density of states at the Fermi level**: 0.54 states/eV per atom


Run B
# LiInHg3

An optimized crystal structure of LiInHg3 (PBE, Alexandria via LeMat-Bulk).

POSCAR file:
```
LiInHg3
1.0
5.0925 0.0000 0.0000
0.0000 5.0925 0.0000
0.0000 0.0000 5.0925
Hg In Li
3 1 1
Direct
0.0000 0.0000 0.5000
0.5000 0.0000 0.0000
0.0000 0.5000 0.0000
0.5000 0.5000 0.5000
0.0000 0.0000 0.0000
```

Results
**Space-group type**: Pm-3m
**Crystal system**: cubic
**Density of states at the Fermi level**: 0.65 states/eV per atom


Stability ranking, top entry: run B; the second entry is 14.0 kJ/mol of atoms less favorable.


Run A
# LiInHg3

An optimized crystal structure of LiInHg3 (PBE, Alexandria via LeMat-Bulk).

POSCAR file:
```
LiInHg3
1.0
4.4676 -0.5954 1.2663
0.5833 4.7089 0.2667
-1.1505 -0.2635 10.5588
Hg In Li
6 2 2
Direct
0.9615 0.3468 0.8069
0.6472 0.8501 0.4226
0.4497 0.8418 0.8076
0.1366 0.3481 0.4134
0.7640 0.3388 0.1920
0.2746 0.8412 0.2012
0.8670 0.8420 0.0012
0.5442 0.3464 0.6132
0.3621 0.3396 0.0066
0.0486 0.8492 0.6080
```

Results
**Space-group type**: P-1
**Crystal system**: triclinic
**Density of states at the Fermi level**: 0.28 states/eV per atom


Run B
# LiInHg3

An optimized crystal structure of LiInHg3 (PBE, Alexandria via LeMat-Bulk).

POSCAR file:
```
LiInHg3
1.0
-1.0668 1.3224 6.2191
2.8855 -3.5005 4.5809
5.9148 3.6295 3.5845
In Hg Li
2 6 2
Direct
0.9230 0.9230 0.2308
0.0770 0.0770 0.7692
0.6071 0.0978 0.6899
0.6052 0.6071 0.6899
0.9022 0.3929 0.3101
0.3948 0.9022 0.3101
0.0978 0.6052 0.6899
0.3929 0.3948 0.3101
0.3353 0.3353 0.9941
0.6647 0.6647 0.0059
```

Results
**Space-group type**: R32
**Crystal system**: trigonal
**Density of states at the Fermi level**: 0.21 states/eV per atom


Stability ranking, top entry: run A; the second entry is 3.0 kJ/mol of atoms less favorable.


Run A
# Li2In2Hg

An optimized crystal structure of Li2In2Hg (PBE, Alexandria via LeMat-Bulk).

POSCAR file:
```
Li2In2Hg
1.0
-2.7800 3.8875 1.0331
-3.1648 -0.2096 3.8439
5.7098 5.2980 6.9997
In Li Hg
4 4 2
Direct
0.6825 0.6681 0.9669
0.9474 0.4566 0.6486
0.0526 0.5434 0.3514
0.3175 0.3319 0.0331
0.6860 0.1916 0.4364
0.3140 0.8084 0.5636
0.0955 0.9551 0.8538
0.9045 0.0449 0.1462
0.4129 0.8853 0.2888
0.5871 0.1147 0.7112
```

Results
**Space-group type**: C2/m
**Crystal system**: monoclinic
**Density of states at the Fermi level**: 0.28 states/eV per atom


Run B
# Li2In2Hg

An optimized crystal structure of Li2In2Hg (PBE, Alexandria via LeMat-Bulk).

POSCAR file:
```
Li2In2Hg
1.0
-0.0011 6.6162 -4.0720
2.3528 -3.8805 -6.3057
-3.4167 -0.5695 -0.9244
Li Hg In
4 2 4
Direct
0.3401 0.1599 0.5000
0.6599 0.8401 0.5000
0.1599 0.6599 0.5000
0.8401 0.3401 0.5000
0.0000 0.0000 0.0000
0.5000 0.5000 0.0000
0.6398 0.1398 0.0000
0.3602 0.8602 0.0000
0.8602 0.6398 0.0000
0.1398 0.3602 0.0000
```

Results
**Space-group type**: P4/mbm
**Crystal system**: tetragonal
**Density of states at the Fermi level**: 0.45 states/eV per atom


Stability ranking, top entry: run A; the second entry is 5.2 kJ/mol of atoms less favorable.


Run A
# Li2In2Hg

An optimized crystal structure of Li2In2Hg (PBE, Alexandria via LeMat-Bulk).

POSCAR file:
```
Li2In2Hg
1.0
-2.2101 -3.5989 -1.1660
2.3657 -3.0829 -3.1997
7.0201 -8.5254 4.7789
Li In Hg
4 4 2
Direct
0.0602 0.7213 0.6591
0.4405 0.7787 0.8409
0.5595 0.2213 0.1591
0.9398 0.2787 0.3409
0.6450 0.7682 0.4414
0.8546 0.7318 0.0586
0.3550 0.2318 0.5586
0.1454 0.2682 0.9414
0.7504 0.2500 0.7500
0.2496 0.7500 0.2500
```

Results
**Space-group type**: C2/m
**Crystal system**: monoclinic
**Density of states at the Fermi level**: 0.38 states/eV per atom


Run B
# Li2In2Hg

An optimized crystal structure of Li2In2Hg (PBE, Alexandria via LeMat-Bulk).

POSCAR file:
```
Li2In2Hg
1.0
3.9875 0.0000 0.0000
0.0000 3.9875 0.0000
1.9937 1.9937 7.1595
Li In Hg
2 2 1
Direct
0.2500 0.7500 0.5000
0.7500 0.2500 0.5000
0.6021 0.6021 0.7957
0.3979 0.3979 0.2043
0.0000 0.0000 0.0000
```

Results
**Space-group type**: I4/mmm
**Crystal system**: tetragonal
**Density of states at the Fermi level**: 0.25 states/eV per atom


Stability ranking, top entry: run A; the second entry is 13.3 kJ/mol of atoms less favorable.


Run A
# Li2In3Hg8

An optimized crystal structure of Li2In3Hg8 (PBE, Alexandria via LeMat-Bulk).

POSCAR file:
```
Li2In3Hg8
1.0
4.8460 0.0000 0.0000
0.0000 8.0792 -4.6797
0.0000 -0.3940 8.6751
In Hg Li
3 8 2
Direct
0.0000 0.2894 0.9996
0.5000 0.0000 0.0000
0.0000 0.7106 0.0004
0.0000 0.3377 0.6754
0.5000 0.8666 0.2827
0.0000 0.1317 0.2623
0.5000 0.4156 0.2826
0.5000 0.1334 0.7173
0.5000 0.5844 0.7174
0.0000 0.6623 0.3246
0.0000 0.8683 0.7377
0.5000 0.7708 0.5418
0.5000 0.2292 0.4582
```

Results
**Space-group type**: P2/m
**Crystal system**: monoclinic
**Density of states at the Fermi level**: 0.29 states/eV per atom


Run B
# Li2In3Hg8

An optimized crystal structure of Li2In3Hg8 (PBE, Alexandria via LeMat-Bulk).

POSCAR file:
```
Li2In3Hg8
1.0
-1.7578 4.7681 -3.6227
-4.5949 -0.7653 -4.1534
-9.0166 4.1900 4.5142
Hg Li In
8 2 3
Direct
0.7076 0.7076 0.8773
0.7244 0.7244 0.3284
0.7772 0.2756 0.6716
0.2756 0.7772 0.6716
0.2924 0.2924 0.1227
0.2756 0.2756 0.6716
0.2228 0.7244 0.3284
0.7244 0.2228 0.3284
0.3758 0.3758 0.8726
0.6242 0.6242 0.1274
0.0000 0.0000 0.0000
0.1943 0.1943 0.4171
0.8057 0.8057 0.5829
```

Results
**Space-group type**: R-3m
**Crystal system**: trigonal
**Density of states at the Fermi level**: 0.32 states/eV per atom


Stability ranking, top entry: run A; the second entry is 7.5 kJ/mol of atoms less favorable.


Run A
# LiIn4Hg7

An optimized crystal structure of LiIn4Hg7 (PBE, Alexandria via LeMat-Bulk).

POSCAR file:
```
LiIn4Hg7
1.0
4.9336 0.0000 0.0000
-2.4668 4.2726 0.0000
0.0000 0.0000 14.5540
Hg In Li
7 4 1
Direct
0.6667 0.3333 0.5647
0.6667 0.3333 0.8265
0.0000 0.0000 0.7343
0.3333 0.6667 0.4353
0.0000 0.0000 0.0000
0.3333 0.6667 0.1735
0.0000 0.0000 0.2657
0.6667 0.3333 0.3467
0.6667 0.3333 0.0905
0.3333 0.6667 0.6533
0.3333 0.6667 0.9095
0.0000 0.0000 0.5000
```

Results
**Space-group type**: P-3m1
**Crystal system**: trigonal
**Density of states at the Fermi level**: 0.26 states/eV per atom


Run B
# LiIn4Hg7

An optimized crystal structure of LiIn4Hg7 (PBE, Alexandria via LeMat-Bulk).

POSCAR file:
```
LiIn4Hg7
1.0
-5.1988 -3.1996 0.4974
-1.0714 -0.0359 5.8903
-2.1440 9.2234 2.7533
Hg Li In
7 1 4
Direct
0.7313 0.5006 0.9607
0.9609 0.0089 0.2776
0.2687 0.4994 0.0393
0.3342 0.6327 0.6163
0.0391 0.9911 0.7224
0.5000 0.0000 0.0000
0.6658 0.3673 0.3837
0.0000 0.0000 0.0000
0.8989 0.5329 0.6838
0.1011 0.4671 0.3162
0.4964 0.0850 0.6644
0.5036 0.9150 0.3356
```

Results
**Space-group type**: P-1
**Crystal system**: triclinic
**Density of states at the Fermi level**: 0.24 states/eV per atom


Stability ranking, top entry: run A; the second entry is 1.3 kJ/mol of atoms less favorable.


Run A
# LiInHg4

An optimized crystal structure of LiInHg4 (PBE, Alexandria via LeMat-Bulk).

POSCAR file:
```
LiInHg4
1.0
0.0000 4.2829 4.2829
4.2829 0.0000 4.2829
4.2829 4.2829 0.0000
Hg Li In
4 1 1
Direct
0.3747 0.3747 0.8760
0.3747 0.3747 0.3747
0.8760 0.3747 0.3747
0.3747 0.8760 0.3747
0.0000 0.0000 0.0000
0.7500 0.7500 0.7500
```

Results
**Space-group type**: F-43m
**Crystal system**: cubic
**Density of states at the Fermi level**: 0.64 states/eV per atom


Run B
# LiInHg4

An optimized crystal structure of LiInHg4 (PBE, Alexandria via LeMat-Bulk).

POSCAR file:
```
LiInHg4
1.0
-2.3850 -2.1728 0.6851
1.5846 -0.8710 2.7540
-6.4532 9.2054 6.7288
Hg Li In
4 1 1
Direct
0.0000 0.5028 0.3642
0.5000 0.9985 0.1823
0.0000 0.4972 0.6358
0.5000 0.0015 0.8177
0.5000 0.0000 0.5000
0.0000 0.5000 0.0000
```

Results
**Space-group type**: P2/m
**Crystal system**: monoclinic
**Density of states at the Fermi level**: 0.48 states/eV per atom


Stability ranking, top entry: run B; the second entry is 13.8 kJ/mol of atoms less favorable.


Run A
# Li2InHg2

An optimized crystal structure of Li2InHg2 (PBE, Alexandria via LeMat-Bulk).

POSCAR file:
```
Li2InHg2
1.0
3.9150 0.0000 0.0000
0.0000 3.9150 0.0000
1.9575 1.9575 7.1059
In Li Hg
1 2 2
Direct
0.0000 0.0000 0.0000
0.2500 0.7500 0.5000
0.7500 0.2500 0.5000
0.3864 0.3864 0.2272
0.6136 0.6136 0.7728
```

Results
**Space-group type**: I4/mmm
**Crystal system**: tetragonal
**Density of states at the Fermi level**: 0.32 states/eV per atom


Run B
# Li2InHg2

An optimized crystal structure of Li2InHg2 (PBE, Alexandria via LeMat-Bulk).

POSCAR file:
```
Li2InHg2
1.0
-3.9788 -6.1047 -3.2033
6.8813 -3.7422 -1.4156
-0.1709 -1.4138 2.9067
Hg Li In
4 4 2
Direct
0.8633 0.6367 0.0000
0.3633 0.8633 0.0000
0.1367 0.3633 0.0000
0.6367 0.1367 0.0000
0.8396 0.3396 0.5000
0.3396 0.1604 0.5000
0.1604 0.6604 0.5000
0.6604 0.8396 0.5000
0.0000 0.0000 0.0000
0.5000 0.5000 0.0000
```

Results
**Space-group type**: P4/mbm
**Crystal system**: tetragonal
**Density of states at the Fermi level**: 0.32 states/eV per atom


Run C
# Li2InHg2

An optimized crystal structure of Li2InHg2 (PBE, Alexandria via LeMat-Bulk).

POSCAR file:
```
Li2InHg2
1.0
7.6550 0.0000 0.0000
0.0000 7.6550 0.0000
0.0000 0.0000 3.4753
Hg In Li
4 2 4
Direct
0.8500 0.3500 0.5000
0.3500 0.1500 0.5000
0.1500 0.6500 0.5000
0.6500 0.8500 0.5000
0.0000 0.0000 0.0000
0.5000 0.5000 0.0000
0.6411 0.1411 0.0000
0.3589 0.8589 0.0000
0.1411 0.3589 0.0000
0.8589 0.6411 0.0000
```

Results
**Space-group type**: P4/mbm
**Crystal system**: tetragonal
**Density of states at the Fermi level**: 0.33 states/eV per atom


Run D
# Li2InHg2

An optimized crystal structure of Li2InHg2 (PBE, Alexandria via LeMat-Bulk).

POSCAR file:
```
Li2InHg2
1.0
4.7899 0.0000 0.0000
-2.3949 4.1481 0.0000
0.0000 0.0000 5.8313
Li In Hg
2 1 2
Direct
0.6667 0.3333 0.3217
0.3333 0.6667 0.6783
0.0000 0.0000 0.0000
0.3333 0.6667 0.2111
0.6667 0.3333 0.7889
```

Results
**Space-group type**: P-3m1
**Crystal system**: trigonal
**Density of states at the Fermi level**: 0.46 states/eV per atom


Stability ranking, top entry: run B; the second entry is 3.3 kJ/mol of atoms less favorable.


Run A
# LiIn8Hg2

An optimized crystal structure of LiIn8Hg2 (PBE, Alexandria via LeMat-Bulk).

POSCAR file:
```
LiIn8Hg2
1.0
5.6379 0.0027 -0.3826
0.0024 5.6693 -0.0062
-0.6606 -0.0100 9.1637
In Hg Li
8 2 1
Direct
0.8691 0.4995 0.1376
0.4969 0.9985 0.1595
0.0000 0.5000 0.5000
0.5031 0.0015 0.8405
0.1309 0.5005 0.8624
0.5000 0.0000 0.5000
0.5675 0.5006 0.6822
0.4325 0.4994 0.3178
0.0007 0.9998 0.3171
0.9993 0.0002 0.6829
0.0000 0.0000 0.0000
```

Results
**Space-group type**: P-1
**Crystal system**: triclinic
**Density of states at the Fermi level**: 0.34 states/eV per atom


Run B
# LiIn8Hg2

An optimized crystal structure of LiIn8Hg2 (PBE, Alexandria via LeMat-Bulk).

POSCAR file:
```
LiIn8Hg2
1.0
6.4076 -0.9676 -0.6759
-0.1682 7.4043 0.6118
-0.1682 3.1226 6.7414
Hg In Li
2 8 1
Direct
0.3545 0.8894 0.8894
0.6455 0.1106 0.1106
0.9640 0.8264 0.4268
0.0360 0.5732 0.1736
0.9640 0.4268 0.8264
0.0360 0.1736 0.5732
0.2861 0.2160 0.2160
0.3696 0.5849 0.5849
0.6304 0.4151 0.4151
0.7139 0.7840 0.7840
0.0000 0.0000 0.0000
```

Results
**Space-group type**: C2/m
**Crystal system**: monoclinic
**Density of states at the Fermi level**: 0.45 states/eV per atom


Stability ranking, top entry: run A; the second entry is 3.0 kJ/mol of atoms less favorable.